NbCuC2 | PBE-GGA | optimized geometry

E_tot   -7.290 eV per atom
M_tot   0.0 μB per formula unit
Energy of formation from the pure elements   863 meV per atom
Symmetry   I-42d, No. 122
Excess energy over the best structure of this formula in the dataset   0.00 eV per formula unit

Unit cell a=4.7174 b=4.7174 c=5.7382 alpha=65.73 beta=65.73 gamma=90.00
With the nearest neighbours (Å) after each atom.
Fractional coordinates of all 8 atoms:
Nb 0.7500 0.2500 0.5000  4 C 2.06
Nb 0.0000 0.0000 0.0000  4 C 2.06
Cu 0.5000 0.5000 0.0000  4 C 2.01
Cu 0.2500 0.7500 0.5000  4 C 2.01
C 0.8750 0.8656 0.7500  2 Cu 2.01, 2 Nb 2.06
C 0.1344 0.6250 0.2500  2 Cu 2.01, 2 Nb 2.06
C 0.3750 0.3844 0.7500  2 Cu 2.01, 2 Nb 2.06
C 0.6156 0.1250 0.2500  2 Cu 2.01, 2 Nb 2.06



BaBiH6Pt2 | PBE-GGA | optimized geometry

E_tot   -4.032 eV per atom
M_tot   0.0 μB per formula unit
Symmetry   C2/c, No. 15

Unit cell a=6.7155 b=6.7155 c=7.2507 alpha=107.02 beta=107.02 gamma=90.86
With the nearest neighbours (Å) after each atom.
Fractional coordinates of all 20 atoms:
H 0.1740 0.5524 0.4415  1 Pt 1.67
H 0.8529 0.8103 0.4463  1 Pt 1.65
H 0.1471 0.1897 0.5537  1 Pt 1.65
H 0.8103 0.8529 0.9463  1 Pt 1.65
H 0.5524 0.1740 0.9415  1 Pt 1.67
H 0.9333 0.3201 0.2043  1 Pt 1.65
H 0.3201 0.9333 0.7043  1 Pt 1.65
H 0.0667 0.6799 0.7957  1 Pt 1.65
H 0.4476 0.8260 0.0585  1 Pt 1.67
H 0.6799 0.0667 0.2957  1 Pt 1.65
H 0.1897 0.1471 0.0537  1 Pt 1.65
H 0.8260 0.4476 0.5585  1 Pt 1.67
Pt 0.6544 0.8104 0.2482  3 H 1.65-1.67
Pt 0.3456 0.1896 0.7518  3 H 1.65-1.67
Pt 0.8104 0.6544 0.7482  3 H 1.65-1.67
Pt 0.1896 0.3456 0.2518  3 H 1.65-1.67
Bi 0.5990 0.4010 0.2500  4 H 2.24-2.41
Bi 0.4010 0.5990 0.7500  4 H 2.24-2.41
Ba 0.1545 0.8455 0.2500  8 H 2.70-3.02
Ba 0.8455 0.1545 0.7500  8 H 2.70-3.02



AuSBr | PBE-GGA | optimized geometry

E_tot   -2.918 eV per atom
M_tot   0.0 μB per formula unit
Formation energy from raw total energies   108 meV/atom
Symmetry   P2_1/m, No. 11

Unit cell a=3.8118 b=3.7962 c=10.5704 alpha=90.00 beta=79.88 gamma=90.00
With the nearest neighbours (Å) after each atom.
Fractional coordinates of all 6 atoms:
Au 0.1278 0.5722 0.1717  1 S 2.39, 1 Br 2.46
Au 0.5083 0.0722 0.4166  1 S 2.39, 1 Br 2.47
Br 0.3931 0.0724 0.6535  1 Au 2.47
Br 0.2434 0.5725 0.9348  1 Au 2.46
S 0.6202 0.0722 0.1868  1 Au 2.39
S 0.0158 0.5722 0.4015  1 Au 2.39



Na4LaHo3Te8 | PBE-GGA | optimized geometry

E_tot   -4.396 eV per atom
M_tot   0.0 μB per formula unit
Formation energy from raw total energies   -1329 meV/atom
Symmetry   R-3m, No. 166

Unit cell a=8.9425 b=9.1546 c=8.9423 alpha=119.25 beta=120.00 gamma=90.00
With the nearest neighbours (Å) after each atom.
Fractional coordinates of all 16 atoms:
Na 0.5000 0.0000 0.5000  6 Te 3.29-3.30
Na 0.0000 0.0000 0.5000  6 Te 3.29-3.30
Na 0.0000 0.0000 0.0000  6 Te 3.29-3.30
Na 0.5000 0.0000 0.0000  6 Te 3.20
Te 0.7342 0.7347 0.9845  2 Ho 3.10, 1 La 3.20, 3 Na 3.20-3.30
Te 0.2568 0.2705 0.5136  3 Ho 3.11, 3 Na 3.29
Te 0.7497 0.2653 0.0155  2 Ho 3.10, 1 La 3.20, 3 Na 3.20-3.30
Te 0.7497 0.2653 0.4994  2 Ho 3.10, 1 La 3.20, 3 Na 3.20-3.30
Te 0.7432 0.7295 0.4864  3 Ho 3.11, 3 Na 3.29
Te 0.2658 0.2653 0.0155  2 Ho 3.10, 1 La 3.20, 3 Na 3.20-3.30
Te 0.2503 0.7347 0.9845  2 Ho 3.10, 1 La 3.20, 3 Na 3.20-3.30
Te 0.2503 0.7347 0.5006  2 Ho 3.10, 1 La 3.20, 3 Na 3.20-3.30
Ho 0.0000 0.5000 0.5000  6 Te 3.10-3.11
Ho 0.5000 0.5000 0.0000  6 Te 3.10-3.11
Ho 0.5000 0.5000 0.5000  6 Te 3.10-3.11
La 0.0000 0.5000 0.0000  6 Te 3.20



ScZnBr2 | PBE-GGA | optimized geometry

E_tot   -3.516 eV per atom
M_tot   0.0 μB per formula unit
Formation energy from raw total energies   -778 meV/atom
Symmetry   I-42d, No. 122
Excess energy over the best structure of this formula in the dataset   0.51 eV per formula unit

Unit cell a=9.5285 b=9.5285 c=7.3310 alpha=49.47 beta=49.47 gamma=90.00
With the nearest neighbours (Å) after each atom.
Fractional coordinates of all 8 atoms:
Br 0.4804 0.1250 0.2500  2 Sc 2.68
Br 0.8750 0.7304 0.7500  2 Sc 2.68
Br 0.2696 0.6250 0.2500  2 Sc 2.68
Br 0.3750 0.5196 0.7500  2 Sc 2.68
Zn 0.7500 0.2500 0.5000  2 Sc 2.89
Zn 0.0000 0.0000 0.0000  2 Sc 2.89
Sc 0.2500 0.7500 0.5000  4 Br 2.68, 2 Zn 2.89
Sc 0.5000 0.5000 0.0000  4 Br 2.68, 2 Zn 2.89



ZrIrBr2 | PBE-GGA | optimized geometry

E_tot   -5.152 eV per atom
M_tot   0.0 μB per formula unit
Formation energy from raw total energies   37 meV/atom
Symmetry   R-3m, No. 166
Excess energy over the best structure of this formula in the dataset   2.30 eV per formula unit

Unit cell a=9.0387 b=9.0387 c=9.0387 alpha=21.05 beta=21.05 gamma=21.05
With the nearest neighbours (Å) after each atom.
Fractional coordinates of all 4 atoms:
Br 0.9080 0.9080 0.9080  1 Ir 2.44
Br 0.0920 0.0920 0.0920  1 Ir 2.44
Zr 0.5000 0.5000 0.5000  6 Br 2.75
Ir 0.0000 0.0000 0.0000  2 Br 2.44



MgZnSe2 | PBE-GGA | optimized geometry

E_tot   -3.435 eV per atom
M_tot   0.0 μB per formula unit
Formation energy from raw total energies   -975 meV/atom
Symmetry   P2_1, No. 4

Unit cell a=5.8696 b=4.1386 c=8.3148 alpha=89.97 beta=90.00 gamma=90.00
With the nearest neighbours (Å) after each atom.
Fractional coordinates of all 8 atoms:
Mg 0.4636 0.2088 0.9990  4 Se 2.57-2.60
Mg 0.9638 0.7078 0.7368  4 Se 2.57-2.60
Se 0.2245 0.2079 0.7368  1 Zn 2.49, 3 Mg 2.57-2.59
Se 0.2000 0.2090 0.2503  3 Zn 2.49-2.51, 1 Mg 2.60
Se 0.7000 0.7084 0.4855  3 Zn 2.49-2.51, 1 Mg 2.60
Se 0.7244 0.7088 0.9989  1 Zn 2.49, 3 Mg 2.57-2.59
Zn 0.4585 0.2084 0.4876  4 Se 2.49-2.51
Zn 0.9584 0.7091 0.2481  4 Se 2.49-2.51



ZnCd2F4 | PBE-GGA | optimized geometry

E_tot   -3.156 eV per atom
M_tot   0.0 μB per formula unit
Formation energy from raw total energies   -1643 meV/atom
Symmetry   I4/mmm, No. 139

Unit cell a=4.0617 b=4.0617 c=7.1919 alpha=73.60 beta=73.60 gamma=90.00
With the nearest neighbours (Å) after each atom.
Fractional coordinates of all 7 atoms:
F 0.5000 0.0000 0.0000  2 Zn 2.03
F 0.0000 0.5000 0.0000  2 Zn 2.03
F 0.8421 0.8421 0.3159  1 Zn 2.08
F 0.1579 0.1579 0.6841  1 Zn 2.08
Zn 0.0000 0.0000 0.0000  6 F 2.03-2.08
Cd 0.6595 0.6595 0.6811  1 F 2.41
Cd 0.3405 0.3405 0.3189  1 F 2.41



SrSnNO2 | PBE-GGA | optimized geometry

E_tot   -4.544 eV per atom
M_tot   3.0 μB per formula unit
Formation energy from raw total energies   241 meV/atom
Symmetry   P4/mmm, No. 123

Unit cell a=4.5999 b=4.5999 c=4.7893 alpha=90.00 beta=90.00 gamma=90.00
With the nearest neighbours (Å) after each atom.
Fractional coordinates of all 5 atoms:
Sn 0.5000 0.5000 0.5000  4 N 3.25, 8 O 3.32
Sr 0.0000 0.0000 0.0000  4 O 2.30, 2 N 2.39
O 0.0000 0.5000 0.0000  2 Sr 2.30
O 0.5000 0.0000 0.0000  2 Sr 2.30
N 0.0000 0.0000 0.5000  2 Sr 2.39



SrCdPdPb | PBE-GGA | optimized geometry

E_tot   -3.201 eV per atom
M_tot   0.0 μB per formula unit
Energy of formation from the pure elements   -326 meV per atom
Symmetry   F-43m, No. 216

Unit cell a=5.2358 b=5.2358 c=5.2358 alpha=60.00 beta=60.00 gamma=60.00
With the nearest neighbours (Å) after each atom.
Fractional coordinates of all 4 atoms:
Sr 0.5000 0.5000 0.5000  4 Pd 3.21, 4 Cd 3.21
Pd 0.2500 0.2500 0.2500  4 Pb 3.21, 4 Sr 3.21
Pb 0.0000 0.0000 0.0000  4 Cd 3.21, 4 Pd 3.21
Cd 0.7500 0.7500 0.7500  4 Pb 3.21, 4 Sr 3.21



NdScPt2 | PBE-GGA | optimized geometry

E_tot   -6.925 eV per atom
M_tot   0.0 μB per formula unit
Energy of formation from the pure elements   -1129 meV per atom
Symmetry   P6_3/mmc, No. 194
Excess energy over the best structure of this formula in the dataset   0.09 eV per formula unit

Unit cell a=4.5653 b=4.5653 c=9.6323 alpha=90.00 beta=90.00 gamma=120.00
With the nearest neighbours (Å) after each atom.
Fractional coordinates of all 8 atoms:
Sc 0.0000 0.0000 0.5000  6 Pt 2.76
Sc 0.0000 0.0000 0.0000  6 Pt 2.76
Pt 0.3333 0.6667 0.9160  3 Sc 2.76, 3 Nd 3.08
Pt 0.6667 0.3333 0.0840  3 Sc 2.76, 3 Nd 3.08
Pt 0.6667 0.3333 0.4160  3 Sc 2.76, 3 Nd 3.08
Pt 0.3333 0.6667 0.5840  3 Sc 2.76, 3 Nd 3.08
Nd 0.3333 0.6667 0.2500  8 Pt 3.08-3.22
Nd 0.6667 0.3333 0.7500  8 Pt 3.08-3.22



Cs2BaCBr6 | PBE-GGA | optimized geometry

E_tot   -3.153 eV per atom
M_tot   0.0 μB per formula unit
Formation energy from raw total energies   -863 meV/atom
Symmetry   Fm-3m, No. 225

Unit cell a=8.0437 b=8.0437 c=8.0441 alpha=60.00 beta=60.00 gamma=90.00
With the nearest neighbours (Å) after each atom.
Fractional coordinates of all 10 atoms:
Ba 0.0000 0.0000 0.0000  6 Br 3.16-3.17
C 0.5000 0.5000 0.0000  6 Br 2.52
Br 0.7218 0.2782 0.0000  1 C 2.52
Br 0.2782 0.2782 0.0000  1 C 2.52
Br 0.7217 0.7217 0.5565  1 C 2.52
Br 0.7218 0.7218 0.0000  1 C 2.52
Br 0.2783 0.2783 0.4435  1 C 2.52
Br 0.2782 0.7218 0.0000  1 C 2.52
Cs 0.7500 0.2500 0.5000  12 Br 4.03
Cs 0.2500 0.7500 0.5000  12 Br 4.03